(1)
Below is crystalline LaP3 at its relaxed geometry, with properties calculated at the GGA-PBE level.

Unit cell a=4.862 b=4.862 c=4.862 alpha=60.00 beta=60.00 gamma=60.00
Element x y z (fractional)
La1 0.000 0.000 0.000
P1 0.250 0.250 0.250
P2 0.500 0.500 0.500
P3 0.750 0.750 0.750

* DFT total energy: -5.37 eV/atom
* N(E_F): 2.03 states/eV per cell
* space-group type: Fm-3m (225)
* DFT formation energy: -0.083 eV/atom

(2)
Below is crystalline LaP3 at its relaxed geometry, with properties calculated at the GGA-PBE level.

Unit cell a=6.980 b=6.980 c=6.980 alpha=32.33 beta=32.33 gamma=32.33
Element x y z (fractional)
La1 0.000 0.000 0.000
P1 0.236 0.236 0.236
P2 0.500 0.500 0.500
P3 0.764 0.764 0.764

* DFT total energy: -5.59 eV/atom
* N(E_F): 1.75 states/eV per cell
* space-group type: R-3m (166)
* DFT formation energy: -0.304 eV/atom

(3)
Below is crystalline LaP3 at its relaxed geometry, with properties calculated at the GGA-PBE level.

Unit cell a=5.139 b=5.139 c=5.139 alpha=112.04 beta=112.04 gamma=112.04
Element x y z (fractional)
La1 0.000 0.000 0.000
P1 0.000 0.500 0.500
P2 0.500 0.000 0.500
P3 0.500 0.500 0.000

* DFT total energy: -5.42 eV/atom
* N(E_F): 4.19 states/eV per cell
* space-group type: R-3m (166)
* DFT formation energy: -0.132 eV/atom